[1]
Computed, not measured: a geometry-optimized Si4Hg5 structure at the PBE level of DFT.

Unit cell a=10.0789 b=10.0789 c=5.2131 alpha=90.00 beta=90.00 gamma=120.00
Space group P6_3/mcm (No. 193)
Unique sites:
1 Si 0.0000 0.0000 0.0000 x2
2 Si 0.0000 0.4906 0.2500 x6
3 Hg 0.0000 0.2415 0.2500 x6
4 Hg 0.3333 0.6667 0.0000 x4

Properties
The calculation puts the energy above the most stable polymorph in this dataset at 119 meV/atom. The formation energy (no corrections) comes out at 469 meV per atom.



[2]
Computed, not measured: a geometry-optimized CeAl22Pd6 structure at the PBE level of DFT.

Unit cell a=12.7047 b=12.7047 c=12.7047 alpha=90.00 beta=90.00 gamma=90.00
Space group Fm-3m (No. 225)
Unique sites:
1 Ce 0.0000 0.0000 0.0000 x4
2 Al 0.0000 0.1779 0.1779 x48
3 Al 0.1191 0.1191 0.3809 x32
4 Al 0.2500 0.2500 0.2500 x8
5 Pd 0.0000 0.0000 0.2623 x24

Properties
As for the calculated formation energy: -0.388 eV per atom.



It is found that the calculated density values, taken in the order of the records, are 8.08 4.44 g cm⁻³.
It is found that the magnetic moment values, taken in the order of the records, are 0.00 0.88 μB per formula unit.